Compound: LiAlSbO4
Source: Alexandria
Functional: PBE
Structure: relaxed

a b c (Å): 6.1459 6.1459 6.1459
angles (deg): 123.20 115.32 91.42
Element x y z (fractional)
Li 0.3741 0.1241 0.2500
Li 0.6259 0.8759 0.7500
Al 0.0000 0.0000 0.5000
Al 0.0000 0.5000 0.0000
Sb 0.0000 0.5000 0.5000
Sb 0.5000 0.5000 0.0000
O 0.1959 0.7468 0.4491
O 0.2023 0.2532 0.9491
O 0.2308 0.2438 0.5130
O 0.2308 0.7178 0.9870
O 0.7692 0.2822 0.0130
O 0.7692 0.7562 0.4870
O 0.7978 0.7468 0.0509
O 0.8041 0.2532 0.5509

Output
Magnetization, μB/f.u.: 0.000
Raw formation energy, eV/f.u.: -13.88